1.
Entry from Alexandria via LeMat-Bulk: LiTlPb4 after structural relaxation (PBE).

Structure (POSCAR):
```
LiTlPb4
1.0
0.0000 4.6208 4.6208
4.6208 0.0000 4.6208
4.6208 4.6208 0.0000
Li Tl Pb
1 1 4
direct
0.0000 0.0000 0.0000 Li
0.2500 0.2500 0.2500 Tl
0.1246 0.6251 0.6251 Pb
0.6251 0.1246 0.6251 Pb
0.6251 0.6251 0.1246 Pb
0.6251 0.6251 0.6251 Pb
```

V, Å³ per cell: 197.3
Space group: F-43m (216)
Polymorph energy (0 for the lowest one), meV/atom: 111
DOS(E_F), states/eV/f.u.: 1.58
Energy, eV/atom: -3.15
Energy of formation, meV per atom: 40

***

2.
Entry from Alexandria via LeMat-Bulk: Nd7DyTm2 after structural relaxation (PBE).

Structure (POSCAR):
```
Nd7DyTm2
1.0
4.4547 -8.1668 0.0000
4.4547 8.1668 0.0000
0.0000 0.0000 5.6939
Nd Dy Tm
7 1 2
direct
0.0000 0.0000 0.0000 Nd
0.2065 0.4348 0.0000 Nd
0.2777 0.7223 0.5000 Nd
0.4348 0.2065 0.0000 Nd
0.5652 0.7935 0.0000 Nd
0.7223 0.2777 0.5000 Nd
0.7935 0.5652 0.0000 Nd
0.5000 0.5000 0.5000 Dy
0.2050 0.7950 0.0000 Tm
0.7950 0.2050 0.0000 Tm
```

V, Å³ per cell: 414.3
Space group: Cmmm (65)
DOS(E_F), states/eV/f.u.: 15.13
Energy, eV/atom: -4.05
Energy of formation, meV per atom: 641

***

3.
Entry from Alexandria via LeMat-Bulk: KSc2MnTe4 after structural relaxation (PBE).

Structure (POSCAR):
```
KSc2MnTe4
1.0
2.1283 -7.3748 0.0000
2.1283 7.3748 0.0000
0.0000 0.0000 15.0406
K Sc Mn Te
2 4 2 8
direct
0.1216 0.8784 0.7500 K
0.8784 0.1216 0.2500 K
0.3722 0.6278 0.5655 Sc
0.3722 0.6278 0.9345 Sc
0.6278 0.3722 0.0655 Sc
0.6278 0.3722 0.4345 Sc
0.1641 0.8359 0.2500 Mn
0.8359 0.1641 0.7500 Mn
0.0000 0.0000 0.0000 Te
0.0000 0.0000 0.5000 Te
0.2631 0.7369 0.1040 Te
0.2631 0.7369 0.3960 Te
0.4445 0.5555 0.7500 Te
0.5555 0.4445 0.2500 Te
0.7369 0.2631 0.6040 Te
0.7369 0.2631 0.8960 Te
```

V, Å³ per cell: 472.2
Space group: Cmcm (63)
Formation energy (no corrections), eV/atom: -0.93
DOS(E_F), states/eV/f.u.: 3.69
Energy, eV/atom: -5.36

***

4.
Entry from Alexandria via LeMat-Bulk: BPd2Br after structural relaxation (PBE).

Structure (POSCAR):
```
BPd2Br
1.0
-2.6262 2.6262 5.5265
2.6262 -2.6262 5.5265
2.6262 2.6262 -5.5265
B Pd Br
2 4 2
direct
0.0000 0.0000 0.0000 B
0.7500 0.2500 0.5000 B
0.0210 0.6250 0.8960 Pd
0.3750 0.2710 0.3960 Pd
0.7290 0.1250 0.1040 Pd
0.8750 0.9790 0.6040 Pd
0.2500 0.7500 0.5000 Br
0.5000 0.5000 0.0000 Br
```

V, Å³ per cell: 152.5
Space group: I-42d (122)
Polymorph energy (0 for the lowest one), meV/atom: 0
Formation energy (no corrections), eV/atom: 0.17
DOS(E_F), states/eV/f.u.: 0.00
Energy, eV/atom: -4.51

***

5.
Entry from Alexandria via LeMat-Bulk: InGa6Ni12 after structural relaxation (PBE).

Structure (POSCAR):
```
InGa6Ni12
1.0
5.0991 2.9440 2.7475
-5.0991 2.9440 2.7475
0.0000 -5.8880 2.7475
In Ga Ni
1 6 12
direct
0.0000 0.0000 0.0000 In
0.1722 0.1735 0.4532 Ga
0.1735 0.4532 0.1722 Ga
0.4532 0.1722 0.1735 Ga
0.5468 0.8278 0.8265 Ga
0.8265 0.5468 0.8278 Ga
0.8278 0.8265 0.5468 Ga
0.9995 0.2641 0.7364 Ni
0.0005 0.7359 0.2636 Ni
0.1884 0.5768 0.5759 Ni
0.2636 0.0005 0.7359 Ni
0.2641 0.7364 0.9995 Ni
0.4232 0.4241 0.8116 Ni
0.4241 0.8116 0.4232 Ni
0.5759 0.1884 0.5768 Ni
0.5768 0.5759 0.1884 Ni
0.7364 0.9995 0.2641 Ni
0.7359 0.2636 0.0005 Ni
0.8116 0.4232 0.4241 Ni
```

V, Å³ per cell: 247.5
Space group: R-3 (148)
DOS(E_F), states/eV/f.u.: 20.13
Energy, eV/atom: -4.85
Energy of formation, meV per atom: -100

***

6.
Entry from Alexandria via LeMat-Bulk: Hf2TiRhO after structural relaxation (PBE).

Structure (POSCAR):
```
Hf2TiRhO
1.0
4.3930 0.0000 0.0000
0.0000 4.3930 0.0000
0.0000 0.0000 4.0351
Hf Ti Rh O
2 1 1 1
direct
0.0000 0.5000 0.0000 Hf
0.5000 0.0000 0.0000 Hf
0.0000 0.0000 0.5000 Ti
0.5000 0.5000 0.5000 Rh
0.0000 0.0000 0.0000 O
```

V, Å³ per cell: 77.9
Space group: P4/mmm (123)
Formation energy (no corrections), eV/atom: -1.29
DOS(E_F), states/eV/f.u.: 3.45
Energy, eV/atom: -9.31

***

7.
Entry from Alexandria via LeMat-Bulk: CsRb2SiAg after structural relaxation (PBE).

Structure (POSCAR):
```
CsRb2SiAg
1.0
7.7904 0.0000 0.0000
0.0000 7.7904 0.0000
0.0000 0.0000 6.2328
Cs Rb Si Ag
1 2 1 1
direct
0.0000 0.0000 0.0000 Cs
0.0000 0.5000 0.0000 Rb
0.5000 0.0000 0.0000 Rb
0.5000 0.5000 0.5000 Si
0.0000 0.0000 0.5000 Ag
```

V, Å³ per cell: 378.3
Space group: P4/mmm (123)
Formation energy (no corrections), eV/atom: 0.97
DOS(E_F), states/eV/f.u.: 3.98
Energy, eV/atom: -1.24

***

8.
Entry from Alexandria via LeMat-Bulk: Re2SiAu after structural relaxation (PBE).

Structure (POSCAR):
```
Re2SiAu
1.0
1.4565 -2.3607 0.0000
1.4565 2.3607 0.0000
0.0000 0.0000 9.1631
Re Si Au
2 1 1
direct
0.0000 0.0000 0.0000 Re
0.5000 0.5000 0.2365 Re
0.0000 0.0000 0.4626 Si
0.5000 0.5000 0.7208 Au
```

V, Å³ per cell: 63.0
Space group: Cmm2 (35)
Formation energy (no corrections), eV/atom: 0.41
DOS(E_F), states/eV/f.u.: 3.54
Energy, eV/atom: -7.99

***

9.
Entry from Alexandria via LeMat-Bulk: Tl2Bi2Br7 after structural relaxation (PBE).

Structure (POSCAR):
```
Tl2Bi2Br7
1.0
6.3257 -4.6193 0.0000
6.3257 4.6193 0.0000
-0.4411 0.0000 7.2055
Tl Bi Br
2 2 7
direct
0.2293 0.7707 0.0000 Tl
0.7707 0.2293 0.0000 Tl
0.2354 0.2354 0.5795 Bi
0.7647 0.7647 0.4205 Bi
0.0000 0.0000 0.5000 Br
0.0698 0.4976 0.2596 Br
0.4428 0.4428 0.7387 Br
0.4976 0.0698 0.2596 Br
0.5024 0.9302 0.7404 Br
0.5572 0.5572 0.2613 Br
0.9302 0.5024 0.7404 Br
```

V, Å³ per cell: 421.1
Space group: C2/m (12)
Formation energy (no corrections), eV/atom: -0.67
DOS(E_F), states/eV/f.u.: 2.88
Energy, eV/atom: -2.87